{"formula": "BaCuN2O", "functional": "PBE", "state": "optimized geometry", "magnetic_moment_mub_per_fu": 0.091, "formation_energy_uncorrected_ev_per_atom": 0.338, "lattice_angstrom": [[3.903, 0.000, 0.000], [0.000, 3.903, 0.000], [0.000, 0.000, 4.399]], "species": ["Ba", "Cu", "N", "N", "O"], "frac_coords": [[0.000, 0.000, 0.000], [0.500, 0.500, 0.500], [0.000, 0.500, 0.500], [0.500, 0.000, 0.500], [0.500, 0.500, 0.000]]}